[1]
The following is a PBE calculation of a relaxed Cs2NpPa3O12 crystal, from Alexandria.

Summary:
Calculated total energy, eV/cell: -158.38
M_tot, μB/cell: 0.00

a = 8.0846 Å, b = 8.0846 Å, c = 8.0846 Å
α = 59.62°, β = 59.62°, γ = 59.62°
Last column: nearest neighbours and their distance in Å.
Fractional coordinates of all 18 atoms:
Cs (0.1189, 0.1189, 0.1189)  6 O 3.44-3.65
Cs (0.8811, 0.8811, 0.8811)  6 O 3.44-3.65
Np (0.5000, 0.5000, 0.5000)  6 O 2.03
Pa (0.0000, 0.5000, 0.5000)  6 O 2.15-2.25
Pa (0.5000, 0.0000, 0.5000)  6 O 2.15-2.25
Pa (0.5000, 0.5000, 0.0000)  6 O 2.15-2.25
O (0.1825, 0.1825, 0.5644)  2 Pa 2.15
O (0.1825, 0.5644, 0.1825)  2 Pa 2.15
O (0.2028, 0.5611, 0.5611)  1 Np 2.03, 1 Pa 2.25
O (0.4356, 0.8175, 0.8175)  2 Pa 2.15
O (0.4389, 0.4389, 0.7972)  1 Np 2.03, 1 Pa 2.25
O (0.4389, 0.7972, 0.4389)  1 Np 2.03, 1 Pa 2.25
O (0.5611, 0.2028, 0.5611)  1 Np 2.03, 1 Pa 2.25
O (0.5611, 0.5611, 0.2028)  1 Np 2.03, 1 Pa 2.25
O (0.5644, 0.1825, 0.1825)  2 Pa 2.15
O (0.7972, 0.4389, 0.4389)  1 Np 2.03, 1 Pa 2.25
O (0.8175, 0.4356, 0.8175)  2 Pa 2.15
O (0.8175, 0.8175, 0.4356)  2 Pa 2.15

---

[2]
The following is a PBE calculation of a relaxed CsNpPbO6 crystal, from Alexandria.

Summary:
Calculated total energy, eV/cell: -128.56
M_tot, μB/cell: 0.00

a = 7.9309 Å, b = 7.9309 Å, c = 7.9309 Å
α = 122.80°, β = 118.46°, γ = 88.95°
Last column: nearest neighbours and their distance in Å.
Fractional coordinates of all 18 atoms:
Cs (0.3607, 0.1107, 0.2500)  5 O 3.15-3.42
Cs (0.6393, 0.8893, 0.7500)  5 O 3.15-3.42
Np (0.0000, 0.5000, 0.5000)  6 O 1.97-2.11
Np (0.5000, 0.5000, 0.0000)  6 O 1.97-2.11
Pb (0.0000, 0.0000, 0.5000)  6 O 2.12-2.26
Pb (0.0000, 0.5000, 0.0000)  6 O 2.12-2.26
O (0.0671, 0.4339, 0.2655)  1 Np 1.97
O (0.0671, 0.8017, 0.6332)  1 Np 1.97
O (0.0828, 0.8328, 0.2500)  2 Pb 2.12
O (0.3019, 0.5519, 0.7500)  2 Np 2.11
O (0.3316, 0.1983, 0.7655)  1 Np 1.97
O (0.3316, 0.5661, 0.1332)  1 Np 1.97
O (0.6684, 0.4339, 0.8668)  1 Np 1.97
O (0.6684, 0.8017, 0.2345)  1 Np 1.97
O (0.6981, 0.4481, 0.2500)  2 Np 2.11
O (0.9172, 0.1672, 0.7500)  2 Pb 2.12
O (0.9329, 0.1983, 0.3668)  1 Np 1.97
O (0.9329, 0.5661, 0.7345)  1 Np 1.97

---

> Among the records above, which one has the lowest calculated total energy?

Cs2NpPa3O12